Compound: TbSm5
Source: Alexandria
Functional: PBE
Structure: relaxed

Computed properties:
- Electronic total energy: -56.3 eV per cell

Cell lengths 5.119, 7.238, 10.834 Å; angles 90.00, 90.00, 90.00 degrees
Fractional positions:
Sm  0.750  0.625  0.583
Sm  0.750  0.126  0.584
Sm  0.750  0.125  0.250
Sm  0.250  0.875  0.750
Sm  0.750  0.625  0.917
Sm  0.250  0.375  0.417
Sm  0.250  0.874  0.084
Sm  0.250  0.874  0.416
Sm  0.250  0.375  0.083
Sm  0.750  0.126  0.916
Tb  0.750  0.624  0.250
Tb  0.250  0.376  0.750

Compound: Tb2Sm
Source: Alexandria
Functional: PBE
Structure: relaxed

Computed properties:
- Energy relative to the lowest polymorph listed for this composition: 0.016 eV/f.u.
- Electronic total energy: -27.8 eV per cell

Cell lengths 3.644, 8.521, 6.796 Å; angles 102.98, 105.55, 90.00 degrees
Fractional positions:
Sm  0.639  0.030  0.277
Sm  0.361  0.970  0.723
Tb  0.027  0.309  0.054
Tb  0.305  0.362  0.610
Tb  0.695  0.638  0.390
Tb  0.973  0.691  0.946

Compound: Tb5Sm
Source: Alexandria
Functional: PBE
Structure: relaxed

Computed properties:
- Electronic total energy: -55.6 eV per cell

Cell lengths 5.058, 7.146, 10.691 Å; angles 90.00, 90.00, 90.00 degrees
Fractional positions:
Sm  0.750  0.625  0.250
Sm  0.250  0.375  0.750
Tb  0.750  0.125  0.583
Tb  0.250  0.875  0.417
Tb  0.250  0.875  0.083
Tb  0.250  0.374  0.083
Tb  0.750  0.626  0.917
Tb  0.750  0.124  0.250
Tb  0.250  0.876  0.750
Tb  0.750  0.626  0.583
Tb  0.250  0.374  0.417
Tb  0.750  0.125  0.917

Compound: Tb3Sm4
Source: Alexandria
Functional: PBE
Structure: relaxed

Computed properties:
- Electronic total energy: -32.7 eV per cell

Cell lengths 3.595, 5.091, 12.972 Å; angles 101.32, 97.96, 90.00 degrees
Fractional positions:
Sm  0.286  0.786  0.572
Sm  0.571  0.071  0.142
Sm  0.429  0.929  0.858
Sm  0.714  0.214  0.428
Tb  0.857  0.357  0.715
Tb  0.000  0.500  0.000
Tb  0.143  0.643  0.285